HoScGa2Ni4: relaxed, GGA-PBE.

Geometry as extended XYZ:
```
8
Lattice="4.118 0.000 0.000 -2.059 3.567 0.000 0.000 0.000 8.415" Properties=species:S:1:pos:R:3 pbc="T T T"
Ho 0.000 0.000 0.000
Sc 2.059 1.189 4.207
Ga 0.000 2.378 2.203
Ga 0.000 2.378 6.211
Ni 0.000 0.000 2.825
Ni 0.000 0.000 5.590
Ni 2.059 1.189 1.592
Ni 2.059 1.189 6.823
```

Space group: No. 187
Raw total energy in eV per atom: -5.48
Total magnetization in μB per formula unit: 0.00



TbHo2Ga3Si2Ni: relaxed, GGA-PBE.

Geometry as extended XYZ:
```
9
Lattice="4.143 0.000 0.000 0.000 5.949 3.427 0.000 -5.949 3.427" Properties=species:S:1:pos:R:3 pbc="T T T"
Tb 0.000 0.000 0.000
Ho 0.000 -2.399 2.704
Ho 0.000 2.399 2.704
Ga 2.072 0.000 2.468
Ga 2.072 -1.409 4.889
Ga 2.072 1.409 4.889
Si 2.072 -3.952 4.087
Si 2.072 3.952 4.087
Ni 0.000 0.000 4.073
```

Space group: No. 38
Raw total energy in eV per atom: -5.06
Total magnetization in μB per formula unit: 0.00



HoTm2Ga3Si2Ni: relaxed, GGA-PBE.

Geometry as extended XYZ:
```
9
Lattice="4.116 0.000 0.000 0.000 5.911 3.403 0.000 -5.911 3.403" Properties=species:S:1:pos:R:3 pbc="T T T"
Ho 0.000 0.000 0.000
Tm 0.000 -2.388 2.679
Tm 0.000 2.388 2.679
Ga 2.058 0.000 2.439
Ga 2.058 -1.404 4.854
Ga 2.058 1.404 4.854
Si 2.058 -3.927 4.054
Si 2.058 3.927 4.054
Ni 0.000 0.000 4.037
```

Space group: No. 38
Raw total energy in eV per atom: -5.02
Total magnetization in μB per formula unit: 0.00



TbHo2Ga3NiSn2: relaxed, GGA-PBE.

Geometry as extended XYZ:
```
9
Lattice="4.238 0.000 0.000 0.000 6.309 3.618 0.000 -6.309 3.618" Properties=species:S:1:pos:R:3 pbc="T T T"
Tb 0.000 0.000 0.000
Ho 0.000 -2.376 3.134
Ho 0.000 2.376 3.134
Ga 2.119 0.000 2.900
Ga 2.119 -1.380 5.285
Ga 2.119 1.380 5.285
Ni 0.000 0.000 4.474
Sn 2.119 -4.190 4.496
Sn 2.119 4.190 4.496
```

Space group: No. 38
Raw total energy in eV per atom: -4.66
Total magnetization in μB per formula unit: 0.00



Tb2HoGa3NiSn2: relaxed, GGA-PBE.

Geometry as extended XYZ:
```
9
Lattice="4.269 0.000 0.000 0.000 6.286 3.651 0.000 -6.286 3.651" Properties=species:S:1:pos:R:3 pbc="T T T"
Tb 0.000 -3.909 3.651
Tb 0.000 3.909 3.651
Ho 0.000 0.000 4.127
Ga 2.135 -1.388 2.189
Ga 2.135 1.388 2.189
Ga 2.135 0.000 7.085
Ni 0.000 0.000 1.402
Sn 2.135 -2.079 5.031
Sn 2.135 2.079 5.031
```

Space group: No. 38
Raw total energy in eV per atom: -4.67
Total magnetization in μB per formula unit: 0.00



HoTm2Ga3NiSn2: relaxed, GGA-PBE.

Geometry as extended XYZ:
```
9
Lattice="4.226 0.000 0.000 0.000 6.281 3.603 0.000 -6.281 3.603" Properties=species:S:1:pos:R:3 pbc="T T T"
Ho 0.000 0.000 0.000
Tm 0.000 -2.370 3.113
Tm 0.000 2.370 3.113
Ga 2.113 0.000 2.868
Ga 2.113 -1.383 5.263
Ga 2.113 1.383 5.263
Ni 0.000 0.000 4.451
Sn 2.113 -4.172 4.472
Sn 2.113 4.172 4.472
```

Space group: No. 38
Raw total energy in eV per atom: -4.61
Total magnetization in μB per formula unit: 0.00